No. 1
Here is a relaxed CoBiSe3 crystal from Alexandria. Energies are from PBE.

The calculation puts the offset from the most stable computed form at 0 meV per atom. The calculation puts the formation energy without anion corrections at 13.0 kJ/mol of atoms.

The space group is Pm-3m (No. 221) and the conventional cell measures 4.761, 4.761 and 4.761 Å, with angles of 90.00, 90.00 and 90.00 degrees. The inequivalent atoms are Co at (0.000, 0.000, 0.000), Bi at (0.500, 0.500, 0.500) and Se at (0.000, 0.000, 0.500).

No. 2
Here is a relaxed Ce6PC2I3 crystal from Alexandria. Energies are from PBE.

The calculation puts the formation energy without anion corrections at -79.4 kJ/mol of atoms.

The space group is C2/m (No. 12) and the conventional cell measures 6.799, 11.785 and 8.088 Å, with angles of 90.00, 106.33 and 90.00 degrees. The inequivalent atoms are Ce at (0.202, 0.000, 0.178), Ce at (0.238, 0.321, 0.179), P at (0.000, 0.500, 0.000), C at (0.000, 0.167, 0.000), I at (0.000, 0.000, 0.500) and I at (0.000, 0.339, 0.500).

No. 3
Here is a relaxed GdTh2Pa crystal from Alexandria. Energies are from PBE.

The calculation puts the offset from the most stable computed form at 76 meV per atom. The formation energy is 0.161 eV/atom.

The space group is P4/mmm (No. 123) and the conventional cell measures 4.987, 4.987 and 4.800 Å, with angles of 90.00, 90.00 and 90.00 degrees. The inequivalent atoms are Gd at (0.000, 0.000, 0.000), Th at (0.000, 0.500, 0.500) and Pa at (0.500, 0.500, 0.000).

No. 4
Here is a relaxed NbAgO2F crystal from Alexandria. Energies are from PBE.

The calculation puts the formation energy without anion corrections at 2.9 kJ/mol of atoms.

The space group is P4/mmm (No. 123) and the conventional cell measures 4.167, 4.167 and 4.059 Å, with angles of 90.00, 90.00 and 90.00 degrees. The inequivalent atoms are Nb at (0.000, 0.000, 0.000), Ag at (0.500, 0.500, 0.500), O at (0.000, 0.500, 0.500) and F at (0.500, 0.500, 0.000).

No. 5
Here is a relaxed NaMg2PBr crystal from Alexandria. Energies are from PBE.

The calculation puts the formation energy without anion corrections at -50.1 kJ/mol of atoms.

The space group is P4/mmm (No. 123) and the conventional cell measures 4.898, 4.898 and 5.826 Å, with angles of 90.00, 90.00 and 90.00 degrees. The inequivalent atoms are Na at (0.000, 0.000, 0.000), Mg at (0.000, 0.500, 0.500), P at (0.000, 0.000, 0.500) and Br at (0.500, 0.500, 0.000).

No. 6
Here is a relaxed DySeN crystal from Alexandria. Energies are from PBE.

The calculation puts the offset from the most stable computed form at 297 meV per atom. The calculation puts the formation energy without anion corrections at -85.3 kJ/mol of atoms.

The space group is Pnma (No. 62) and the conventional cell measures 18.991, 3.512 and 3.467 Å, with angles of 90.00, 90.00 and 90.00 degrees. The inequivalent atoms are Dy at (0.187, 0.250, 0.244), Se at (0.020, 0.250, 0.750) and N at (0.195, 0.750, 0.744).

No. 7
Here is a relaxed Sc7Pd4Pb crystal from Alexandria. Energies are from PBE.

The formation energy is -0.440 eV/atom.

The space group is C2/m (No. 12) and the conventional cell measures 12.981, 5.333 and 9.081 Å, with angles of 90.00, 125.05 and 90.00 degrees. The inequivalent atoms are Sc at (0.000, 0.000, 0.000), Sc at (0.065, 0.500, 0.379), Sc at (0.197, 0.000, 0.643), Sc at (0.214, 0.500, 0.884), Pd at (0.061, 0.000, 0.763), Pd at (0.205, 0.000, 0.345) and Pb at (0.000, 0.500, 0.000).

No. 8
Here is a relaxed Mg2InAg crystal from Alexandria. Energies are from PBE.

The formation energy is -0.112 eV/atom.

The space group is R-3m (No. 166, hexagonal axes) and the conventional cell measures 3.2167, 3.2167 and 28.6655 Å, with angles of 90.00, 90.00 and 120.00 degrees. The inequivalent atoms are Mg at (0.0000, 0.0000, 0.2444), In at (0.0000, 0.0000, 0.0000) and Ag at (0.0000, 0.0000, 0.5000).

No. 9
Here is a relaxed AcHo2Pd crystal from Alexandria. Energies are from PBE.

The calculation puts the offset from the most stable computed form at 0 meV per atom. The formation energy is -0.435 eV/atom.

The space group is Pnma (No. 62) and the conventional cell measures 7.322, 9.979 and 6.628 Å, with angles of 90.00, 90.00 and 90.00 degrees. The inequivalent atoms are Ac at (0.021, 0.250, 0.142), Ho at (0.177, 0.064, 0.669) and Pd at (0.113, 0.750, 0.406).

No. 10
Here is a relaxed TlMoIr4 crystal from Alexandria. Energies are from PBE.

The formation energy is 0.498 eV/atom.

The space group is F-43m (No. 216) and the conventional cell measures 7.386, 7.386 and 7.386 Å, with angles of 90.00, 90.00 and 90.00 degrees. The inequivalent atoms are Tl at (0.000, 0.000, 0.000), Mo at (0.250, 0.250, 0.750) and Ir at (0.125, 0.125, 0.375).

No. 11
Here is a relaxed Tm2Co2Si3 crystal from Alexandria. Energies are from PBE.

The calculation puts the formation energy without anion corrections at -69.7 kJ/mol of atoms.

The space group is Cmcm (No. 63) and the conventional cell measures 3.983, 16.973 and 6.600 Å, with angles of 90.00, 90.00 and 90.00 degrees. The inequivalent atoms are Tm at (0.000, 0.054, 0.250), Tm at (0.000, 0.160, 0.750), Co at (0.000, 0.307, 0.556), Si at (0.000, 0.223, 0.250) and Si at (0.000, 0.435, 0.067).

No. 12
Here is a relaxed Sr2MnIrS crystal from Alexandria. Energies are from PBE.

The calculation puts the formation energy without anion corrections at -16.2 kJ/mol of atoms.

The space group is P4/mmm (No. 123) and the conventional cell measures 5.727, 5.727 and 4.731 Å, with angles of 90.00, 90.00 and 90.00 degrees. The inequivalent atoms are Sr at (0.000, 0.500, 0.000), Mn at (0.000, 0.000, 0.500), Ir at (0.000, 0.000, 0.000) and S at (0.500, 0.500, 0.500).

No. 13
Here is a relaxed NiSb6PdAu2 crystal from Alexandria. Energies are from PBE.

The calculation puts the formation energy without anion corrections at -10.5 kJ/mol of atoms.

The space group is P2_1/c (No. 14) and the conventional cell measures 7.262, 6.592 and 11.982 Å, with angles of 90.00, 125.88 and 90.00 degrees. The inequivalent atoms are Ni at (0.000, 0.000, 0.000), Sb at (0.078, 0.018, 0.240), Sb at (0.239, 0.167, 0.582), Sb at (0.381, 0.675, 0.587), Pd at (0.500, 0.000, 0.500) and Au at (0.319, 0.648, 0.291).

No. 14
Here is a relaxed Os2W crystal from Alexandria. Energies are from PBE.

The calculation puts the offset from the most stable computed form at 25 meV per atom. The formation energy is 0.024 eV/atom.

The space group is I4_1/amd (No. 141, origin choice 2) and the conventional cell measures 3.887, 3.887 and 23.769 Å, with angles of 90.00, 90.00 and 90.00 degrees. The inequivalent atoms are Os at (0.000, 0.250, 0.124), Os at (0.000, 0.250, 0.293) and W at (0.000, 0.250, 0.795).

No. 15
Here is a relaxed Be2FeAs crystal from Alexandria. Energies are from PBE.

The calculation puts the offset from the most stable computed form at 353 meV per atom. The formation energy is 0.359 eV/atom.

The space group is R-3m (No. 166, hexagonal axes) and the conventional cell measures 2.7269, 2.7269 and 22.2453 Å, with angles of 90.00, 90.00 and 120.00 degrees. The inequivalent atoms are Be at (0.0000, 0.0000, 0.2449), Fe at (0.0000, 0.0000, 0.5000) and As at (0.0000, 0.0000, 0.0000).

No. 16
Here is a relaxed La2MnCuHg crystal from Alexandria. Energies are from PBE.

The formation energy is 1.059 eV/atom.

The space group is P4/mmm (No. 123) and the conventional cell measures 5.862, 5.862 and 4.734 Å, with angles of 90.00, 90.00 and 90.00 degrees. The inequivalent atoms are La at (0.000, 0.500, 0.000), Mn at (0.000, 0.000, 0.500), Cu at (0.500, 0.500, 0.500) and Hg at (0.500, 0.500, 0.000).

No. 17
Here is a relaxed Pr8As3S4 crystal from Alexandria. Energies are from PBE.

The calculation puts the formation energy without anion corrections at -161.6 kJ/mol of atoms.

The space group is C2/m (No. 12) and the conventional cell measures 11.827, 11.842 and 8.370 Å, with angles of 90.00, 134.92 and 90.00 degrees. The inequivalent atoms are Pr at (0.000, 0.245, 0.000), Pr at (0.000, 0.249, 0.500), Pr at (0.243, 0.000, 0.489), Pr at (0.244, 0.000, 0.997), As at (0.000, 0.500, 0.500), As at (0.250, 0.250, 0.000), S at (0.000, 0.000, 0.000), S at (0.000, 0.000, 0.500) and S at (0.250, 0.250, 0.500).

No. 18
Here is a relaxed La2PuPbC crystal from Alexandria. Energies are from PBE.

The formation energy is -0.327 eV/atom.

The space group is P4/mmm (No. 123) and the conventional cell measures 5.278, 5.278 and 4.826 Å, with angles of 90.00, 90.00 and 90.00 degrees. The inequivalent atoms are La at (0.000, 0.500, 0.000), Pu at (0.000, 0.000, 0.500), Pb at (0.500, 0.500, 0.500) and C at (0.000, 0.000, 0.000).

No. 19
Here is a relaxed PuPaP crystal from Alexandria. Energies are from PBE.

The calculation puts the offset from the most stable computed form at 259 meV per atom. The formation energy is -0.410 eV/atom.

The space group is C2/m (No. 12) and the conventional cell measures 6.933, 6.826 and 6.042 Å, with angles of 90.00, 97.61 and 90.00 degrees. The inequivalent atoms are Pu at (0.000, 0.222, 0.000), Pa at (0.000, 0.256, 0.500) and P at (0.234, 0.500, 0.249).

No. 20
Here is a relaxed HfGeP3 crystal from Alexandria. Energies are from PBE.

The calculation puts the offset from the most stable computed form at 0 meV per atom. The formation energy is 0.476 eV/atom.

The space group is Pm-3m (No. 221) and the conventional cell measures 4.963, 4.963 and 4.963 Å, with angles of 90.00, 90.00 and 90.00 degrees. The inequivalent atoms are Hf at (0.000, 0.000, 0.000), Ge at (0.500, 0.500, 0.500) and P at (0.000, 0.000, 0.500).

no.,density (g/cm³)
1,7.767
2,6.816
3,11.857
4,5.933
5,2.168
6,7.338
7,6.115
8,5.261
9,9.098
10,17.622
11,8.039
12,4.864
13,9.215
14,20.878
15,5.174
16,6.091
17,5.922
18,9.154
19,11.857
20,4.672